*1*
Computed, not measured: Hf3SnPt after structural relaxation at the GGA-PBE level of DFT.

Cell: 5.0509 5.0509 5.0509 Å, 90.00 90.00 90.00°
Closest atoms and distances in Å follow each position.
Space group Pm-3m (No. 221)
Inequivalent atoms, fractional coordinates:
Hf1 0.0000 0.0000 0.5000 x3  2 Pt 2.53
Sn1 0.5000 0.5000 0.5000 x1  12 Hf 3.57
Pt1 0.0000 0.0000 0.0000 x1  6 Hf 2.53

Summary:
D(E_F) (states/eV/f.u.): 2.06

*2*
Computed, not measured: Hf3SnPt after structural relaxation at the GGA-PBE level of DFT.

Cell: 9.8225 4.2577 10.6670 Å, 90.00 90.00 90.00°
Closest atoms and distances in Å follow each position.
Space group Amm2 (No. 38)
Inequivalent atoms, fractional coordinates:
Hf1 0.0000 0.0000 0.0000 x2  2 Pt 2.72
Hf2 0.1817 0.0000 0.3180 x4  2 Pt 2.75, 2 Sn 3.01
Hf3 0.2794 0.0000 0.6075 x4  2 Pt 2.67, 1 Sn 2.95
Hf4 0.5000 0.0000 0.8244 x2  2 Pt 2.65, 2 Sn 2.93
Sn1 0.0000 0.0000 0.7084 x2  9 Hf 2.95-3.11
Sn2 0.5000 0.0000 0.1353 x2  2 Pt 2.93, 6 Hf 2.93-3.05
Pt1 0.2726 0.0000 0.9573 x4  6 Hf 2.65-2.75, 1 Sn 2.93

Summary:
D(E_F) (states/eV/f.u.): 3.73

Q: Which of them is the least stable? A: *1*.

*1*
Computed, not measured: HfSn3Pt after structural relaxation at the GGA-PBE level of DFT.

Cell: 5.1861 5.1861 5.1861 Å, 90.00 90.00 90.00°
Closest atoms and distances in Å follow each position.
Space group Pm-3m (No. 221)
Inequivalent atoms, fractional coordinates:
Hf1 0.0000 0.0000 0.0000 x1  12 Sn 3.67
Sn1 0.0000 0.5000 0.5000 x3  2 Pt 2.59
Pt1 0.5000 0.5000 0.5000 x1  6 Sn 2.59

Summary:
D(E_F) (states/eV/f.u.): 7.32

*2*
Computed, not measured: HfSn3Pt after structural relaxation at the GGA-PBE level of DFT.

Cell: 5.4447 5.4447 5.4447 Å, 90.00 90.00 90.00°
Closest atoms and distances in Å follow each position.
Space group Pm-3m (No. 221)
Inequivalent atoms, fractional coordinates:
Hf1 0.0000 0.0000 0.0000 x1  6 Sn 2.72
Sn1 0.0000 0.0000 0.5000 x3  2 Hf 2.72
Pt1 0.5000 0.5000 0.5000 x1  12 Sn 3.85

Summary:
D(E_F) (states/eV/f.u.): 6.37

Q: Which of them is the least stable? A: *2*.

*1*
Computed, not measured: SrHfPt3 after structural relaxation at the GGA-PBE level of DFT.

Cell: 5.0369 5.0369 5.0369 Å, 90.00 90.00 90.00°
Closest atoms and distances in Å follow each position.
Space group Pm-3m (No. 221)
Inequivalent atoms, fractional coordinates:
Sr1 0.0000 0.0000 0.0000 x1  12 Pt 3.56
Hf1 0.5000 0.5000 0.5000 x1  6 Pt 2.52
Pt1 0.0000 0.5000 0.5000 x3  2 Hf 2.52

Summary:
D(E_F) (states/eV/f.u.): 2.04

*2*
Computed, not measured: SrHfPt3 after structural relaxation at the GGA-PBE level of DFT.

Cell: 5.0451 5.0451 5.0451 Å, 90.00 90.00 90.00°
Closest atoms and distances in Å follow each position.
Space group Pm-3m (No. 221)
Inequivalent atoms, fractional coordinates:
Sr1 0.0000 0.0000 0.0000 x1  6 Pt 2.52
Hf1 0.5000 0.5000 0.5000 x1  12 Pt 3.57
Pt1 0.0000 0.0000 0.5000 x3  2 Sr 2.52

Summary:
D(E_F) (states/eV/f.u.): 3.23

Q: Which of them is the least stable? A: *2*.

*1*
Computed, not measured: SrHf2Pt2 after structural relaxation at the GGA-PBE level of DFT.

Cell: 8.1551 8.1551 3.1700 Å, 90.00 90.00 90.00°
Closest atoms and distances in Å follow each position.
Space group P4/mbm (No. 127)
Inequivalent atoms, fractional coordinates:
Sr1 0.0000 0.0000 0.0000 x2  4 Hf 3.14, 2 Sr 3.17, 8 Pt 3.49
Hf1 0.1428 0.3572 0.0000 x4  6 Pt 2.85-2.89, 2 Sr 3.14, 2 Hf 3.17
Pt1 0.1481 0.6481 0.5000 x4  6 Hf 2.85-2.89, 2 Pt 3.17

Summary:
D(E_F) (states/eV/f.u.): 4.82

*2*
Computed, not measured: SrHf2Pt2 after structural relaxation at the GGA-PBE level of DFT.

Cell: 4.9552 4.9552 10.3816 Å, 90.00 90.00 90.00°
Closest atoms and distances in Å follow each position.
Space group I4/mmm (No. 139)
Inequivalent atoms, fractional coordinates:
Sr1 0.0000 0.0000 0.0000 x2  8 Pt 3.59, 10 Hf 3.59-3.85
Hf1 0.0000 0.0000 0.3460 x4  4 Pt 2.67
Pt1 0.0000 0.5000 0.2500 x4  4 Hf 2.67

Summary:
D(E_F) (states/eV/f.u.): 5.49

*3*
Computed, not measured: SrHf2Pt2 after structural relaxation at the GGA-PBE level of DFT.

Cell: 4.6365 4.6365 11.0270 Å, 90.00 90.00 90.00°
Closest atoms and distances in Å follow each position.
Space group I4/mmm (No. 139)
Inequivalent atoms, fractional coordinates:
Sr1 0.0000 0.0000 0.0000 x2  8 Pt 3.56, 8 Hf 3.60
Hf1 0.0000 0.5000 0.2500 x4  4 Pt 2.69
Pt1 0.0000 0.0000 0.3745 x4  4 Hf 2.69, 1 Pt 2.77

Summary:
D(E_F) (states/eV/f.u.): 2.71

Q: Which of them is the least stable? A: *2*.

*1*
Computed, not measured: SrHfPt2 after structural relaxation at the GGA-PBE level of DFT.

Cell: 3.3892 3.3892 7.5623 Å, 90.00 90.00 90.00°
Closest atoms and distances in Å follow each position.
Space group P4/mmm (No. 123)
Inequivalent atoms, fractional coordinates:
Sr1 0.0000 0.0000 0.0000 x1  8 Pt 3.33, 4 Sr 3.39
Hf1 0.0000 0.0000 0.5000 x1  8 Pt 2.81
Pt1 0.5000 0.5000 0.3062 x2  4 Hf 2.81, 1 Pt 2.93

Summary:
D(E_F) (states/eV/f.u.): 2.71

*2*
Computed, not measured: SrHfPt2 after structural relaxation at the GGA-PBE level of DFT.

Cell: 7.5951 7.5951 7.0896 Å, 90.00 90.00 90.00°
Closest atoms and distances in Å follow each position.
Space group I-42d (No. 122)
Inequivalent atoms, fractional coordinates:
Sr1 0.0000 0.0000 0.0000 x4  4 Pt 3.12
Hf1 0.0000 0.0000 0.5000 x4  4 Pt 2.57
Pt1 0.1951 0.2500 0.6250 x8  2 Hf 2.57

Summary:
D(E_F) (states/eV/f.u.): 3.09

*3*
Computed, not measured: SrHfPt2 after structural relaxation at the GGA-PBE level of DFT.

Cell: 6.9424 6.9424 6.9424 Å, 90.00 90.00 90.00°
Closest atoms and distances in Å follow each position.
Space group Fm-3m (No. 225)
Inequivalent atoms, fractional coordinates:
Sr1 0.0000 0.0000 0.0000 x4  8 Pt 3.01
Hf1 0.0000 0.0000 0.5000 x4  8 Pt 3.01
Pt1 0.2500 0.2500 0.2500 x8  4 Hf 3.01, 4 Sr 3.01

Summary:
D(E_F) (states/eV/f.u.): 2.88

Q: Which of them is the least stable? A: *2*.

*1*
Computed, not measured: SrHf3Pt after structural relaxation at the GGA-PBE level of DFT.

Cell: 4.9764 4.9764 4.9764 Å, 90.00 90.00 90.00°
Closest atoms and distances in Å follow each position.
Space group Pm-3m (No. 221)
Inequivalent atoms, fractional coordinates:
Sr1 0.0000 0.0000 0.0000 x1  6 Hf 2.49
Hf1 0.0000 0.0000 0.5000 x3  2 Sr 2.49
Pt1 0.5000 0.5000 0.5000 x1  12 Hf 3.52

Summary:
D(E_F) (states/eV/f.u.): 8.84

*2*
Computed, not measured: SrHf3Pt after structural relaxation at the GGA-PBE level of DFT.

Cell: 5.1965 5.1965 5.1965 Å, 90.00 90.00 90.00°
Closest atoms and distances in Å follow each position.
Space group Pm-3m (No. 221)
Inequivalent atoms, fractional coordinates:
Sr1 0.0000 0.0000 0.0000 x1  12 Hf 3.67
Hf1 0.0000 0.5000 0.5000 x3  2 Pt 2.60
Pt1 0.5000 0.5000 0.5000 x1  6 Hf 2.60

Summary:
D(E_F) (states/eV/f.u.): 7.67

Q: Which of them is the least stable? A: *1*.

*1*
Computed, not measured: HfTa3Pt after structural relaxation at the GGA-PBE level of DFT.

Cell: 4.8206 4.8206 4.8206 Å, 90.00 90.00 90.00°
Closest atoms and distances in Å follow each position.
Space group Pm-3m (No. 221)
Inequivalent atoms, fractional coordinates:
Hf1 0.0000 0.0000 0.0000 x1  6 Ta 2.41
Ta1 0.0000 0.0000 0.5000 x3  2 Hf 2.41
Pt1 0.5000 0.5000 0.5000 x1  12 Ta 3.41

Summary:
D(E_F) (states/eV/f.u.): 5.53

*2*
Computed, not measured: HfTa3Pt after structural relaxation at the GGA-PBE level of DFT.

Cell: 4.8816 4.8816 4.8816 Å, 90.00 90.00 90.00°
Closest atoms and distances in Å follow each position.
Space group Pm-3m (No. 221)
Inequivalent atoms, fractional coordinates:
Hf1 0.0000 0.0000 0.0000 x1  12 Ta 3.45
Ta1 0.0000 0.5000 0.5000 x3  2 Pt 2.44
Pt1 0.5000 0.5000 0.5000 x1  6 Ta 2.44

Summary:
D(E_F) (states/eV/f.u.): 8.03

Q: Which of them is the least stable? A: *1*.

*1*
Computed, not measured: HfTa2Pt after structural relaxation at the GGA-PBE level of DFT.

Cell: 6.5811 6.5811 6.5811 Å, 90.00 90.00 90.00°
Closest atoms and distances in Å follow each position.
Space group Fm-3m (No. 225)
Inequivalent atoms, fractional coordinates:
Hf1 0.0000 0.0000 0.0000 x4  8 Ta 2.85
Ta1 0.2500 0.2500 0.2500 x8  4 Hf 2.85, 4 Pt 2.85
Pt1 0.0000 0.0000 0.5000 x4  8 Ta 2.85

Summary:
D(E_F) (states/eV/f.u.): 4.46

*2*
Computed, not measured: HfTa2Pt after structural relaxation at the GGA-PBE level of DFT.

Cell: 7.6796 7.6796 5.4274 Å, 90.00 90.00 90.00°
Closest atoms and distances in Å follow each position.
Space group I-42d (No. 122)
Inequivalent atoms, fractional coordinates:
Hf1 0.0000 0.0000 0.0000 x4  2 Pt 2.71, 4 Ta 2.98
Ta1 0.2174 0.2500 0.6250 x8  2 Pt 2.63, 2 Ta 2.76
Pt1 0.0000 0.0000 0.5000 x4  4 Ta 2.63, 2 Hf 2.71

Summary:
D(E_F) (states/eV/f.u.): 3.92

Q: Which of them is the least stable? A: *2*.

*1*
Computed, not measured: HfTa2Pt2 after structural relaxation at the GGA-PBE level of DFT.

Cell: 7.4613 7.4613 3.2833 Å, 90.00 90.00 90.00°
Closest atoms and distances in Å follow each position.
Space group P4/mbm (No. 127)
Inequivalent atoms, fractional coordinates:
Hf1 0.0000 0.0000 0.0000 x2  4 Pt 2.94, 8 Ta 3.21, 2 Hf 3.28
Ta1 0.1730 0.3270 0.5000 x4  6 Pt 2.66-2.80
Pt1 0.1280 0.6280 0.0000 x4  6 Ta 2.66-2.80, 1 Pt 2.70, 2 Hf 2.94

Summary:
D(E_F) (states/eV/f.u.): 6.57

*2*
Computed, not measured: HfTa2Pt2 after structural relaxation at the GGA-PBE level of DFT.

Cell: 3.9212 3.9212 12.4704 Å, 90.00 90.00 90.00°
Closest atoms and distances in Å follow each position.
Space group I4/mmm (No. 139)
Inequivalent atoms, fractional coordinates:
Hf1 0.0000 0.0000 0.0000 x2  8 Pt 3.05
Ta1 0.0000 0.5000 0.2500 x4  4 Pt 2.70, 4 Ta 2.77
Pt1 0.0000 0.0000 0.3986 x4  1 Pt 2.53, 4 Ta 2.70

Summary:
D(E_F) (states/eV/f.u.): 6.02

*3*
Computed, not measured: HfTa2Pt2 after structural relaxation at the GGA-PBE level of DFT.

Cell: 7.9809 7.9809 2.8566 Å, 90.00 90.00 90.00°
Closest atoms and distances in Å follow each position.
Space group P4/mbm (No. 127)
Inequivalent atoms, fractional coordinates:
Hf1 0.0000 0.0000 0.0000 x2  2 Hf 2.86, 4 Ta 2.98
Ta1 0.1652 0.3348 0.0000 x4  6 Pt 2.71-2.77, 2 Ta 2.86, 2 Hf 2.98
Pt1 0.1308 0.6308 0.5000 x4  6 Ta 2.71-2.77, 3 Pt 2.86-2.95

Summary:
D(E_F) (states/eV/f.u.): 3.67

Q: Which of them is the least stable? A: *2*.

*1*
Computed, not measured: Hf2TaPt2 after structural relaxation at the GGA-PBE level of DFT.

Cell: 7.7515 7.7515 3.1438 Å, 90.00 90.00 90.00°
Closest atoms and distances in Å follow each position.
Space group P4/mbm (No. 127)
Inequivalent atoms, fractional coordinates:
Hf1 0.1604 0.3396 0.0000 x4  6 Pt 2.70-2.81, 2 Ta 2.91
Ta1 0.0000 0.0000 0.0000 x2  4 Hf 2.91, 2 Ta 3.14
Pt1 0.1391 0.6391 0.5000 x4  6 Hf 2.70-2.81

Summary:
D(E_F) (states/eV/f.u.): 4.18

*2*
Computed, not measured: Hf2TaPt2 after structural relaxation at the GGA-PBE level of DFT.

Cell: 7.5237 7.5237 3.3352 Å, 90.00 90.00 90.00°
Closest atoms and distances in Å follow each position.
Space group P4/mbm (No. 127)
Inequivalent atoms, fractional coordinates:
Hf1 0.1686 0.3314 0.0000 x4  6 Pt 2.70-2.82
Ta1 0.0000 0.0000 0.5000 x2  4 Pt 2.94, 8 Hf 3.26
Pt1 0.1317 0.6317 0.5000 x4  6 Hf 2.70-2.82, 1 Pt 2.80, 2 Ta 2.94

Summary:
D(E_F) (states/eV/f.u.): 3.47

Q: Which of them is the least stable? A: *1*.

*1*
Computed, not measured: TbHfPt2 after structural relaxation at the GGA-PBE level of DFT.

Cell: 5.4797 4.4064 7.2373 Å, 90.00 108.61 90.00°
Closest atoms and distances in Å follow each position.
Space group P2_1/m (No. 11)
Inequivalent atoms, fractional coordinates:
Tb1 0.2233 0.2500 0.4286 x2  7 Pt 2.87-3.18
Hf1 0.2135 0.2500 0.9322 x2  7 Pt 2.71-2.97
Pt1 0.3075 0.7500 0.1762 x2  4 Hf 2.71-2.97, 2 Pt 2.91, 2 Tb 2.99
Pt2 0.3278 0.7500 0.7361 x2  3 Hf 2.80-2.87, 4 Tb 2.87-3.06, 2 Pt 2.91

Summary:
D(E_F) (states/eV/f.u.): 2.86

*2*
Computed, not measured: TbHfPt2 after structural relaxation at the GGA-PBE level of DFT.

Cell: 3.3518 3.3518 7.1732 Å, 90.00 90.00 90.00°
Closest atoms and distances in Å follow each position.
Space group P4/mmm (No. 123)
Inequivalent atoms, fractional coordinates:
Tb1 0.0000 0.0000 0.0000 x1  8 Pt 3.14, 4 Tb 3.35
Hf1 0.0000 0.0000 0.5000 x1  8 Pt 2.82
Pt1 0.5000 0.5000 0.2875 x2  4 Hf 2.82, 1 Pt 3.05, 4 Tb 3.14

Summary:
D(E_F) (states/eV/f.u.): 3.25

*3*
Computed, not measured: TbHfPt2 after structural relaxation at the GGA-PBE level of DFT.

Cell: 4.6054 4.6054 13.7481 Å, 90.00 90.00 120.00°
Closest atoms and distances in Å follow each position.
Space group R-3m (No. 166, hexagonal axes)
Inequivalent atoms, fractional coordinates:
Tb1 0.0000 0.0000 0.0000 x3  8 Pt 3.00-3.09
Hf1 0.0000 0.0000 0.5000 x3  6 Pt 2.75
Pt1 0.0000 0.0000 0.2182 x6  3 Hf 2.75, 1 Tb 3.00, 3 Pt 3.01

Summary:
D(E_F) (states/eV/f.u.): 3.26

Q: Which of them is the least stable? A: *3*.